A geometry-optimized Cr2TeP6 structure. Source: the Alexandria database, functional PBE.

a = 5.3820 Å, b = 5.3820 Å, c = 11.9038 Å
α = 90.00°, β = 90.00°, γ = 90.00°
Atoms (fractional coordinates):
P 0.7136 0.7136 0.2931
Cr 0.0000 0.0000 0.6674
P 0.2136 0.7864 0.2069
P 0.2136 0.7864 0.7931
Cr 0.0000 0.0000 0.3326
P 0.2864 0.2864 0.7069
P 0.6514 0.6514 0.0000
P 0.1514 0.8486 0.5000
P 0.3486 0.3486 0.0000
Cr 0.5000 0.5000 0.1674
Cr 0.5000 0.5000 0.8326
P 0.7136 0.7136 0.7069
P 0.7864 0.2136 0.7931
Te 0.5000 0.5000 0.5000
Te 0.0000 0.0000 0.0000
P 0.2864 0.2864 0.2931
P 0.7864 0.2136 0.2069
P 0.8486 0.1514 0.5000

- Calculated density: 4.021 Mg/m³
- Formation energy without anion corrections: 0.2223 eV/atom
- Total energy: -5.8719 eV/atom